# 1
Entry from Alexandria via LeMat-Bulk: a relaxed Ba2LiMg6Au crystal (PBE).

abc: 10.5426 10.5789 7.4564
angles: 90.00 134.83 90.00
Space group C2/m (No. 12)
Symmetry-distinct sites (fractional):
Ba: 0.0000 0.2504 0.0000
Li: 0.0000 0.0000 0.5000
Mg: 0.0000 0.2498 0.5000
Mg: 0.2495 0.0000 0.9997
Mg: 0.2493 0.0000 0.4994
Au: 0.0000 0.5000 0.5000

Results
Crystal system: monoclinic
Fermi-level density of states, states/eV per cell: 14.5
ΔH_f (0 K), eV/f.u.: -1.23

=====

# 2
Entry from Alexandria via LeMat-Bulk: a relaxed Sm5Y2Mg crystal (PBE).

abc: 13.5553 11.1713 3.5443
angles: 90.00 104.80 90.00
Space group C2/m (No. 12)
Symmetry-distinct sites (fractional):
Sm: 0.0000 0.0000 0.0000
Sm: 0.1317 0.2711 0.6349
Y: 0.2413 0.0000 0.7386
Mg: 0.0000 0.5000 0.0000

Results
Crystal system: monoclinic
Fermi-level density of states, states/eV per cell: 27.1
ΔH_f (0 K), eV/f.u.: 0.42
Energy above the most stable polymorph in this dataset, meV per atom: 40

=====

# 3
Entry from Alexandria via LeMat-Bulk: a relaxed Sm6Pt2CI3 crystal (PBE).

abc: 7.1454 12.3419 8.1920
angles: 90.00 106.58 90.00
Space group C2/m (No. 12)
Symmetry-distinct sites (fractional):
Sm: 0.2118 0.1524 0.1800
Sm: 0.2464 0.0000 0.8181
Pt: 0.0000 0.3334 0.0000
C: 0.0000 0.0000 0.0000
I: 0.0000 0.1666 0.5000
I: 0.0000 0.5000 0.5000

Results
Energy, eV/atom: -5.452
Crystal system: monoclinic
Fermi-level density of states, states/eV per cell: 15.3

=====

# 4
Entry from Alexandria via LeMat-Bulk: a relaxed Ac6SiSe5 crystal (PBE).

abc: 7.7797 13.4907 7.7994
angles: 90.00 109.39 90.00
Space group C2/m (No. 12)
Symmetry-distinct sites (fractional):
Ac: 0.2433 0.0000 0.2564
Ac: 0.2434 0.1620 0.7439
Si: 0.0000 0.0000 0.5000
Se: 0.0000 0.1682 0.0000
Se: 0.0000 0.3331 0.5000
Se: 0.0000 0.5000 0.0000

Results
Energy, eV/atom: -5.667
Crystal system: monoclinic
Fermi-level density of states, states/eV per cell: 12.1

=====

# 5
Entry from Alexandria via LeMat-Bulk: a relaxed CaCdWAu2 crystal (PBE).

abc: 5.1449 5.1449 5.1927
angles: 90.00 90.00 90.00
Space group P4/mmm (No. 123)
Symmetry-distinct sites (fractional):
Ca: 0.0000 0.0000 0.0000
Cd: 0.5000 0.5000 0.5000
W: 0.5000 0.5000 0.0000
Au: 0.0000 0.5000 0.5000

Results
Crystal system: tetragonal
Fermi-level density of states, states/eV per cell: 4.1
ΔH_f (0 K), eV/f.u.: 5.29

=====

# 6
Entry from Alexandria via LeMat-Bulk: a relaxed CaPrMgIr crystal (PBE).

abc: 7.2843 7.2843 7.2843
angles: 90.00 90.00 90.00
Space group F-43m (No. 216)
Symmetry-distinct sites (fractional):
Ca: 0.0000 0.0000 0.0000
Pr: 0.0000 0.0000 0.5000
Mg: 0.2500 0.2500 0.2500
Ir: 0.2500 0.2500 0.7500

Results
Crystal system: cubic
Fermi-level density of states, states/eV per cell: 18.1
ΔH_f (0 K), eV/f.u.: -0.87

=====

# 7
Entry from Alexandria via LeMat-Bulk: a relaxed Mn3SbW crystal (PBE).

abc: 4.7876 4.7876 4.7876
angles: 90.00 90.00 90.00
Space group Pm-3m (No. 221)
Symmetry-distinct sites (fractional):
Mn: 0.0000 0.0000 0.5000
Sb: 0.0000 0.0000 0.0000
W: 0.5000 0.5000 0.5000

Results
Crystal system: cubic
Fermi-level density of states, states/eV per cell: 4.4
Energy above the most stable polymorph in this dataset, meV per atom: 474

=====

# 8
Entry from Alexandria via LeMat-Bulk: a relaxed Pu2Al2Ga3 crystal (PBE).

abc: 4.4283 18.6119 6.9984
angles: 90.00 90.00 90.00
Space group Cmcm (No. 63)
Symmetry-distinct sites (fractional):
Pu: 0.0000 0.0519 0.2500
Pu: 0.0000 0.1549 0.7500
Al: 0.0000 0.3136 0.5575
Ga: 0.0000 0.2229 0.2500
Ga: 0.0000 0.4406 0.0721

Results
Crystal system: orthorhombic
Fermi-level density of states, states/eV per cell: 73.2
ΔH_f (0 K), eV/f.u.: -1.89
Energy above the most stable polymorph in this dataset, meV per atom: 0

=====

The lowest Fermi-level density of states belongs to which entry?
CaCdWAu2

=====

Among the records above, which one has the highest Fermi-level density of states?
Pu2Al2Ga3

=====

Which formula does entry 2 have?
Sm5Y2Mg

=====

Look up the Fermi-level density of states of the fourth one.
12.1 states/eV per cell